[1]
This record from Alexandria via LeMat-Bulk describes crystalline Y2Si4OsPt3 at its relaxed geometry. The functional is PBE.

Cell lengths 4.146, 4.146, 9.975 Å; angles 90.00, 90.00, 90.00 degrees
Atoms (fractional coordinates):
Y (0.000, 0.500, 0.247)
Y (0.500, 0.000, 0.753)
Si (0.000, 0.000, 0.000)
Si (0.000, 0.500, 0.630)
Si (0.500, 0.000, 0.370)
Si (0.500, 0.500, 0.000)
Os (0.000, 0.000, 0.500)
Pt (0.000, 0.500, 0.872)
Pt (0.500, 0.000, 0.128)
Pt (0.500, 0.500, 0.500)

Properties
As for the space group: No. 115. The calculation puts the formation energy (no corrections) at -1.036 eV per atom. The total energy comes out at -74.3 eV/cell.

---

[2]
This record from Alexandria via LeMat-Bulk describes crystalline Ta2InP at its relaxed geometry. The functional is PBE.

Cell lengths 4.676, 5.422, 5.422 Å; angles 33.54, 90.00, 90.00 degrees
Atoms (fractional coordinates):
Ta (0.000, 0.000, 0.000)
Ta (0.500, 0.367, 0.367)
In (0.500, 0.633, 0.633)
P (0.000, 0.306, 0.306)

Properties
As for the space group: No. 38. The value obtained for the formation enthalpy at 0 K is -0.009 eV/atom. The total energy comes out at -31.9 eV/cell.

---

[3]
This record from Alexandria via LeMat-Bulk describes crystalline BMoPS2 at its relaxed geometry. The functional is PBE.

Cell lengths 4.639, 4.639, 4.795 Å; angles 90.00, 90.00, 90.00 degrees
Atoms (fractional coordinates):
B (0.000, 0.000, 0.000)
Mo (0.500, 0.500, 0.500)
P (0.500, 0.500, 0.000)
S (0.000, 0.500, 0.500)
S (0.500, 0.000, 0.500)

Properties
As for the space group: No. 123. The calculation puts the formation energy (no corrections) at 1.109 eV per atom. The total energy comes out at -25.6 eV/cell.

---

[4]
This record from Alexandria via LeMat-Bulk describes crystalline BaW4 at its relaxed geometry. The functional is PBE.

Cell lengths 6.778, 6.778, 6.778 Å; angles 142.81, 142.81, 53.61 degrees
Atoms (fractional coordinates):
Ba (0.000, 0.000, 0.000)
W (0.250, 0.750, 0.500)
W (0.372, 0.372, 0.000)
W (0.628, 0.628, 0.000)
W (0.750, 0.250, 0.500)

Properties
As for the space group: No. 139. The value obtained for the formation enthalpy at 0 K is 0.807 eV/atom. The total energy comes out at -49.7 eV/cell.

---

[5]
This record from Alexandria via LeMat-Bulk describes crystalline InW2Se at its relaxed geometry. The functional is PBE.

Cell lengths 3.015, 3.015, 9.046 Å; angles 90.00, 90.00, 119.01 degrees
Atoms (fractional coordinates):
In (0.000, 0.000, 0.000)
W (0.500, 0.500, 0.270)
W (0.500, 0.500, 0.730)
Se (0.000, 0.000, 0.500)

Properties
As for the space group: No. 65. The calculation puts the formation energy (no corrections) at 0.821 eV per atom. The total energy comes out at -28.8 eV/cell.

---

[6]
This record from Alexandria via LeMat-Bulk describes crystalline TiZn2Cr at its relaxed geometry. The functional is PBE.

Cell lengths 10.003, 10.003, 10.003 Å; angles 159.07, 159.07, 29.76 degrees
Atoms (fractional coordinates):
Ti (0.000, 0.000, 0.000)
Ti (0.750, 0.250, 0.500)
Zn (0.133, 0.625, 0.008)
Zn (0.375, 0.383, 0.508)
Zn (0.617, 0.125, 0.992)
Zn (0.875, 0.867, 0.492)
Cr (0.250, 0.750, 0.500)
Cr (0.500, 0.500, 0.000)

Properties
As for the space group: No. 122. The value obtained for the formation enthalpy at 0 K is 0.435 eV/atom. The total energy comes out at -36.7 eV/cell.

---

[7]
This record from Alexandria via LeMat-Bulk describes crystalline CaBrO2F at its relaxed geometry. The functional is PBE.

Cell lengths 3.974, 3.974, 5.052 Å; angles 90.00, 90.00, 90.00 degrees
Atoms (fractional coordinates):
Ca (0.000, 0.000, 0.000)
Br (0.500, 0.500, 0.500)
O (0.000, 0.500, 0.500)
O (0.500, 0.000, 0.500)
F (0.500, 0.500, 0.000)

Properties
As for the space group: No. 123. The calculation puts the formation energy (no corrections) at -0.959 eV per atom. The total energy comes out at -20.3 eV/cell.

---

[8]
This record from Alexandria via LeMat-Bulk describes crystalline Rb2InGa4Sn3 at its relaxed geometry. The functional is PBE.

Cell lengths 4.961, 4.961, 11.534 Å; angles 90.00, 90.00, 90.00 degrees
Atoms (fractional coordinates):
Rb (0.000, 0.500, 0.244)
Rb (0.500, 0.000, 0.756)
In (0.000, 0.000, 0.500)
Ga (0.000, 0.000, 0.000)
Ga (0.000, 0.500, 0.632)
Ga (0.500, 0.000, 0.368)
Ga (0.500, 0.500, 0.000)
Sn (0.000, 0.500, 0.874)
Sn (0.500, 0.000, 0.126)
Sn (0.500, 0.500, 0.500)

Properties
As for the space group: No. 115. The value obtained for the formation enthalpy at 0 K is -0.152 eV/atom. The total energy comes out at -30.3 eV/cell.

---

Number 1: volume 17.149 Å³ per atom. Number 2: volume 18.989 Å³ per atom. Number 3: volume 20.641 Å³ per atom. Number 4: volume 22.612 Å³ per atom. Number 5: volume 17.973 Å³ per atom. Number 6: volume 15.952 Å³ per atom. Number 7: volume 15.955 Å³ per atom. Number 8: volume 28.382 Å³ per atom.